Record 1
CeHo2Cd after structural relaxation, computed with PBE-GGA.

The structure belongs to space group Fm-3m (No. 225); the cell edges are 7.587, 7.587 and 7.587 Å and the angles 90.00°, 90.00° and 90.00°. The inequivalent atoms are Ce at (0.000, 0.000, 0.000), Ho at (0.250, 0.250, 0.250) and Cd at (0.000, 0.000, 0.500).

The crystal system is cubic. For the distance to the lowest polymorph of the same formula, the calculation gives 178 meV/atom. For the raw total energy, the calculation gives -62.9 eV per cell.

***

Record 2
Ac4SbPbI2 after structural relaxation, computed with PBE-GGA.

The structure belongs to space group P2/m (No. 10); the cell edges are 8.147, 4.890 and 8.491 Å and the angles 90.00°, 110.16° and 90.00°. The inequivalent atoms are Ac at (0.225, 0.000, 0.239), Ac at (0.226, 0.500, 0.744), Sb at (0.000, 0.500, 0.000), Pb at (0.000, 0.000, 0.500), I at (0.500, 0.000, 0.000) and I at (0.500, 0.500, 0.500).

The crystal system is monoclinic. The formation energy without anion corrections comes out at -955 meV per atom. For the raw total energy, the calculation gives -35.0 eV per cell.

***

Record 3
Sm2ErAlN after structural relaxation, computed with PBE-GGA.

The structure belongs to space group P4/mmm (No. 123); the cell edges are 4.923, 4.923 and 4.716 Å and the angles 90.00°, 90.00° and 90.00°. The inequivalent atoms are Sm at (0.000, 0.500, 0.000), Er at (0.000, 0.000, 0.500), Al at (0.500, 0.500, 0.500) and N at (0.000, 0.000, 0.000).

The crystal system is tetragonal. The formation energy without anion corrections comes out at -852 meV per atom. For the raw total energy, the calculation gives -30.3 eV per cell.

***

Record 4
ReCl after structural relaxation, computed with PBE-GGA.

The structure belongs to space group Fddd (No. 70, origin choice 2); the cell edges are 7.037, 9.305 and 9.763 Å and the angles 90.00°, 90.00° and 90.00°. The inequivalent atoms are Re at (0.125, 0.003, 0.125) and Cl at (0.125, 0.125, 0.476).

The crystal system is orthorhombic. The formation energy without anion corrections comes out at 711 meV per atom. For the distance to the lowest polymorph of the same formula, the calculation gives 822 meV/atom. For the raw total energy, the calculation gives -206.0 eV per cell.

***

Record 5
LuScBeRu after structural relaxation, computed with PBE-GGA.

The structure belongs to space group F-43m (No. 216); the cell edges are 6.543, 6.543 and 6.543 Å and the angles 90.00°, 90.00° and 90.00°. The inequivalent atoms are Lu at (0.000, 0.000, 0.000), Sc at (0.000, 0.000, 0.500), Be at (0.250, 0.250, 0.250) and Ru at (0.250, 0.250, 0.750).

The crystal system is cubic. For the raw total energy, the calculation gives -99.9 eV per cell.

***

Record 6
MnMoS2N after structural relaxation, computed with PBE-GGA.

The structure belongs to space group P4/mmm (No. 123); the cell edges are 4.826, 4.826 and 3.787 Å and the angles 90.00°, 90.00° and 90.00°. The inequivalent atoms are Mn at (0.000, 0.000, 0.000), Mo at (0.500, 0.500, 0.500), S at (0.000, 0.500, 0.500) and N at (0.500, 0.500, 0.000).

The crystal system is tetragonal. The formation energy without anion corrections comes out at 186 meV per atom. For the distance to the lowest polymorph of the same formula, the calculation gives 0 meV/atom. For the raw total energy, the calculation gives -35.6 eV per cell.

***

Values of total moment, in order: 0.000, 0.000, 0.000, 0.000, 0.000, 1.012, all in μB per atom.